A geometry-optimized PmGeOs structure, computed with PBE.

abc: 4.2957 4.2957 4.0067
angles: 90.00 90.00 120.00
Space group P-6m2 (No. 187)
One atom of each set of equivalent atoms:
Pm (0.0000, 0.0000, 0.0000) (multiplicity 1)
Ge (0.6667, 0.3333, 0.5000) (multiplicity 1)
Os (0.3333, 0.6667, 0.5000) (multiplicity 1)

Calculated values
- mass density (Mg/m³) = 10.58
- spin magnetization (μB/cell) = 0.00
- energy above the most stable polymorph in this dataset (meV/atom) = 0
- DFT formation energy (eV per formula unit) = -0.9

A geometry-optimized Pm2Ge2Os structure, computed with PBE.

abc: 11.1588 4.3533 10.4728
angles: 90.00 119.22 90.00
Space group C2/m (No. 12)
One atom of each set of equivalent atoms:
Pm (0.0062, 0.0000, 0.1755) (multiplicity 4)
Pm (0.1841, 0.0000, 0.6135) (multiplicity 4)
Ge (0.0059, 0.5000, 0.3725) (multiplicity 4)
Ge (0.1495, 0.5000, 0.0632) (multiplicity 4)
Os (0.2265, 0.5000, 0.8722) (multiplicity 4)

Calculated values
- mass density (Mg/m³) = 9.36
- spin magnetization (μB/cell) = 0.00
- energy above the most stable polymorph in this dataset (meV/atom) = 0
- DFT formation energy (eV per formula unit) = -3.2

A geometry-optimized Pm3Ge3Os structure, computed with PBE.

abc: 8.2907 11.2901 7.5209
angles: 90.00 104.56 90.00
Space group C2/m (No. 12)
One atom of each set of equivalent atoms:
Pm (0.0000, 0.1537, 0.0000) (multiplicity 4)
Pm (0.0000, 0.2588, 0.5000) (multiplicity 4)
Pm (0.0905, 0.5000, 0.8577) (multiplicity 4)
Ge (0.1712, 0.0000, 0.3604) (multiplicity 4)
Ge (0.2072, 0.3286, 0.2043) (multiplicity 8)
Os (0.1314, 0.0000, 0.6750) (multiplicity 4)

Calculated values
- mass density (Mg/m³) = 8.22
- spin magnetization (μB/cell) = 0.00
- energy above the most stable polymorph in this dataset (meV/atom) = 183
- DFT formation energy (eV per formula unit) = -3.7

no.,Fermi-level density of states (states/eV per atom),VASP energy (Ry per atom)
1,0.694,-0.52770
2,0.485,-0.48791
3,0.552,-0.45154